(1)
YTm3N | GGA-PBE | relaxed

CIF file:
```
data_YTm3N
_chemical_formula_sum 'Y1 Tm3 N1'
_cell_length_a 4.894
_cell_length_b 4.894
_cell_length_c 4.894
_cell_angle_alpha 90.00
_cell_angle_beta 90.00
_cell_angle_gamma 90.00
_space_group_name_H-M_alt 'P m -3 m'
_space_group_IT_number 221
_space_group_name_Hall '-P 4 2 3'
loop_
_atom_site_label
_atom_site_type_symbol
_atom_site_fract_x
_atom_site_fract_y
_atom_site_fract_z
_atom_site_occupancy
Y1 Y 0.000 0.000 0.000 1
Tm1 Tm 0.000 0.500 0.500 1
N1 N 0.500 0.500 0.500 1
```

Calculated values
Uncorrected formation energy, eV/f.u.: -2.67
Total magnetization, μB/f.u.: 0.0

=====

(2)
CoMoPt14 | GGA-PBE | relaxed

CIF file:
```
data_CoMoPt14
_chemical_formula_sum 'Co1 Mo1 Pt14'
_cell_length_a 5.598
_cell_length_b 5.598
_cell_length_c 7.854
_cell_angle_alpha 90.00
_cell_angle_beta 90.00
_cell_angle_gamma 90.00
_space_group_name_H-M_alt 'P 4/m m m'
_space_group_IT_number 123
_space_group_name_Hall '-P 4 2'
loop_
_atom_site_label
_atom_site_type_symbol
_atom_site_fract_x
_atom_site_fract_y
_atom_site_fract_z
_atom_site_occupancy
Co1 Co 0.000 0.000 0.000 1
Mo1 Mo 0.500 0.500 0.000 1
Pt1 Pt 0.000 0.000 0.500 1
Pt2 Pt 0.000 0.500 0.000 1
Pt3 Pt 0.000 0.500 0.500 1
Pt4 Pt 0.250 0.250 0.242 1
Pt5 Pt 0.500 0.500 0.500 1
```

Calculated values
ΔE_f, eV/atom: -0.1175
Total magnetization, μB/f.u.: 4.0

=====

(3)
AcMg2Zn2In2 | GGA-PBE | relaxed

CIF file:
```
data_AcMg2Zn2In2
_chemical_formula_sum 'Ac3 Mg6 Zn6 In6'
_cell_length_a 4.7203
_cell_length_b 4.7203
_cell_length_c 26.9624
_cell_angle_alpha 90.00
_cell_angle_beta 90.00
_cell_angle_gamma 120.00
_space_group_name_H-M_alt 'R -3 m'
_space_group_IT_number 166
_space_group_name_Hall '-R 3 2"'
loop_
_atom_site_label
_atom_site_type_symbol
_atom_site_fract_x
_atom_site_fract_y
_atom_site_fract_z
_atom_site_occupancy
Ac1 Ac 0.0000 0.0000 0.0000 1
Mg1 Mg 0.0000 0.0000 0.1362 1
Zn1 Zn 0.0000 0.0000 0.4091 1
In1 In 0.0000 0.0000 0.2488 1
```

Calculated values
ΔE_f, eV/atom: -0.2520
Total magnetization, μB/f.u.: 0.0

=====

(4)
ZrHgSb2 | GGA-PBE | relaxed

CIF file:
```
data_ZrHgSb2
_chemical_formula_sum 'Zr2 Hg2 Sb4'
_cell_length_a 4.048
_cell_length_b 5.046
_cell_length_c 9.353
_cell_angle_alpha 90.00
_cell_angle_beta 90.00
_cell_angle_gamma 90.00
_space_group_name_H-M_alt 'I m m m'
_space_group_IT_number 71
_space_group_name_Hall '-I 2 2'
loop_
_atom_site_label
_atom_site_type_symbol
_atom_site_fract_x
_atom_site_fract_y
_atom_site_fract_z
_atom_site_occupancy
Zr1 Zr 0.000 0.000 0.000 1
Hg1 Hg 0.000 0.000 0.500 1
Sb1 Sb 0.000 0.500 0.251 1
```

Calculated values
Uncorrected formation energy, eV/f.u.: -0.53
Total magnetization, μB/f.u.: 0.0

=====

(5)
La5W | GGA-PBE | relaxed

CIF file:
```
data_La5W
_chemical_formula_sum 'La5 W1'
_cell_length_a 6.3686
_cell_length_b 6.3686
_cell_length_c 5.3201
_cell_angle_alpha 90.00
_cell_angle_beta 90.00
_cell_angle_gamma 120.00
_space_group_name_H-M_alt 'P -6 2 m'
_space_group_IT_number 189
_space_group_name_Hall 'P -6 -2'
loop_
_atom_site_label
_atom_site_type_symbol
_atom_site_fract_x
_atom_site_fract_y
_atom_site_fract_z
_atom_site_occupancy
La1 La 0.0000 0.7146 0.0000 1
La2 La 0.3333 0.6667 0.5000 1
W1 W 0.0000 0.0000 0.5000 1
```

Calculated values
Relative energy among the computed polymorphs, eV per formula unit: 0.69
ΔE_f, eV/atom: 0.3990
Total magnetization, μB/f.u.: 0.0

=====

(6)
GePd2Au | GGA-PBE | relaxed

CIF file:
```
data_GePd2Au
_chemical_formula_sum 'Ge3 Pd6 Au3'
_cell_length_a 4.0873
_cell_length_b 4.0873
_cell_length_c 14.7627
_cell_angle_alpha 90.00
_cell_angle_beta 90.00
_cell_angle_gamma 120.00
_space_group_name_H-M_alt 'R 3 m'
_space_group_IT_number 160
_space_group_name_Hall 'R 3 -2"'
loop_
_atom_site_label
_atom_site_type_symbol
_atom_site_fract_x
_atom_site_fract_y
_atom_site_fract_z
_atom_site_occupancy
Ge1 Ge 0.0000 0.0000 0.0000 1
Pd1 Pd 0.0000 0.0000 0.3978 1
Pd2 Pd 0.0000 0.0000 0.6105 1
Au1 Au 0.0000 0.0000 0.1765 1
```

Calculated values
ΔE_f, eV/atom: -0.2271
Total magnetization, μB/f.u.: 0.0